1.
The following is a DFT calculation (GGA-PBE) of a geometry-optimized Zn2AgPt3 structure.

## Properties
Energy relative to the elements, kJ/mol of atoms: -37.25
Total magnetization, μB/f.u.: 0.00

The structure in CIF format:
```
data_Zn2AgPt3
_cell_length_a 2.868
_cell_length_b 2.868
_cell_length_c 11.148
_cell_angle_alpha 90.00
_cell_angle_beta 90.00
_cell_angle_gamma 90.00
_symmetry_space_group_name_H-M 'P 4/m m m'
_symmetry_Int_Tables_number 123
_symmetry_space_group_name_Hall '-P 4 2'
loop_
_atom_site_label
_atom_site_fract_x
_atom_site_fract_y
_atom_site_fract_z
Zn1 0.000 0.000 0.160
Ag1 0.000 0.000 0.500
Pt1 0.500 0.500 0.000
Pt2 0.500 0.500 0.313
```

=====

2.
The following is a DFT calculation (GGA-PBE) of a geometry-optimized ZrAgPt2 structure.

## Properties
Energy relative to the elements, kJ/mol of atoms: -55.49
Total magnetization, μB/f.u.: 0.00

The structure in CIF format:
```
data_ZrAgPt2
_cell_length_a 4.200
_cell_length_b 4.200
_cell_length_c 3.931
_cell_angle_alpha 90.00
_cell_angle_beta 90.00
_cell_angle_gamma 90.00
_symmetry_space_group_name_H-M 'P 4/m m m'
_symmetry_Int_Tables_number 123
_symmetry_space_group_name_Hall '-P 4 2'
loop_
_atom_site_label
_atom_site_fract_x
_atom_site_fract_y
_atom_site_fract_z
Zr1 0.000 0.000 0.000
Ag1 0.500 0.500 0.000
Pt1 0.000 0.500 0.500
```

=====

3.
The following is a DFT calculation (GGA-PBE) of a geometry-optimized ZrAgPt2 structure.

## Properties
Energy relative to the elements, kJ/mol of atoms: -47.88
Total magnetization, μB/f.u.: 0.00

The structure in CIF format:
```
data_ZrAgPt2
_cell_length_a 2.941
_cell_length_b 4.495
_cell_length_c 5.555
_cell_angle_alpha 90.00
_cell_angle_beta 105.29
_cell_angle_gamma 90.00
_symmetry_space_group_name_H-M 'P 1 m 1'
_symmetry_Int_Tables_number 6
_symmetry_space_group_name_Hall 'P -2y'
loop_
_atom_site_label
_atom_site_fract_x
_atom_site_fract_y
_atom_site_fract_z
Zr1 0.000 0.000 0.000
Ag1 0.666 0.500 0.323
Pt1 0.258 0.000 0.506
Pt2 0.401 0.500 0.802
```

=====

4.
The following is a DFT calculation (GGA-PBE) of a geometry-optimized ZrAg2Pt structure.

## Properties
Energy above the most stable polymorph in this dataset, meV per atom: 5.5
Energy relative to the elements, kJ/mol of atoms: -33.09
Total magnetization, μB/f.u.: 0.00

The structure in CIF format:
```
data_ZrAg2Pt
_cell_length_a 4.019
_cell_length_b 4.042
_cell_length_c 8.854
_cell_angle_alpha 90.00
_cell_angle_beta 90.00
_cell_angle_gamma 90.00
_symmetry_space_group_name_H-M 'I m m m'
_symmetry_Int_Tables_number 71
_symmetry_space_group_name_Hall '-I 2 2'
loop_
_atom_site_label
_atom_site_fract_x
_atom_site_fract_y
_atom_site_fract_z
Zr1 0.000 0.000 0.000
Ag1 0.000 0.500 0.250
Pt1 0.000 0.000 0.500
```

=====

5.
The following is a DFT calculation (GGA-PBE) of a geometry-optimized Zr3AgPt structure.

## Properties
Energy above the most stable polymorph in this dataset, meV per atom: 0.0
Energy relative to the elements, kJ/mol of atoms: 28.69
Total magnetization, μB/f.u.: 0.00

The structure in CIF format:
```
data_Zr3AgPt
_cell_length_a 5.102
_cell_length_b 5.102
_cell_length_c 5.102
_cell_angle_alpha 90.00
_cell_angle_beta 90.00
_cell_angle_gamma 90.00
_symmetry_space_group_name_H-M 'P m -3 m'
_symmetry_Int_Tables_number 221
_symmetry_space_group_name_Hall '-P 4 2 3'
loop_
_atom_site_label
_atom_site_fract_x
_atom_site_fract_y
_atom_site_fract_z
Zr1 0.000 0.000 0.500
Ag1 0.500 0.500 0.500
Pt1 0.000 0.000 0.000
```

=====

6.
The following is a DFT calculation (GGA-PBE) of a geometry-optimized Zr2AgPt structure.

## Properties
Energy relative to the elements, kJ/mol of atoms: -47.42
Total magnetization, μB/f.u.: 0.00

The structure in CIF format:
```
data_Zr2AgPt
_cell_length_a 3.483
_cell_length_b 3.483
_cell_length_c 6.494
_cell_angle_alpha 90.00
_cell_angle_beta 90.00
_cell_angle_gamma 90.00
_symmetry_space_group_name_H-M 'P 4 m m'
_symmetry_Int_Tables_number 99
_symmetry_space_group_name_Hall 'P 4 -2'
loop_
_atom_site_label
_atom_site_fract_x
_atom_site_fract_y
_atom_site_fract_z
Zr1 0.000 0.000 0.000
Zr2 0.500 0.500 0.303
Ag1 0.000 0.000 0.543
Pt1 0.500 0.500 0.793
```

=====

7.
The following is a DFT calculation (GGA-PBE) of a geometry-optimized ZrAg2Pt structure.

## Properties
Energy above the most stable polymorph in this dataset, meV per atom: 191.9
Energy relative to the elements, kJ/mol of atoms: -15.10
Total magnetization, μB/f.u.: 0.00

The structure in CIF format:
```
data_ZrAg2Pt
_cell_length_a 6.609
_cell_length_b 6.609
_cell_length_c 6.609
_cell_angle_alpha 90.00
_cell_angle_beta 90.00
_cell_angle_gamma 90.00
_symmetry_space_group_name_H-M 'F m -3 m'
_symmetry_Int_Tables_number 225
_symmetry_space_group_name_Hall '-F 4 2 3'
loop_
_atom_site_label
_atom_site_fract_x
_atom_site_fract_y
_atom_site_fract_z
Zr1 0.000 0.000 0.000
Ag1 0.250 0.250 0.250
Pt1 0.000 0.000 0.500
```

=====

8.
The following is a DFT calculation (GGA-PBE) of a geometry-optimized ZrAg2Pt structure.

## Properties
Energy above the most stable polymorph in this dataset, meV per atom: 40.8
Energy relative to the elements, kJ/mol of atoms: -29.69
Total magnetization, μB/f.u.: 0.00

The structure in CIF format:
```
data_ZrAg2Pt
_cell_length_a 10.132
_cell_length_b 3.071
_cell_length_c 4.771
_cell_angle_alpha 90.00
_cell_angle_beta 101.56
_cell_angle_gamma 90.00
_symmetry_space_group_name_H-M 'C 1 2/m 1'
_symmetry_Int_Tables_number 12
_symmetry_space_group_name_Hall '-C 2y'
loop_
_atom_site_label
_atom_site_fract_x
_atom_site_fract_y
_atom_site_fract_z
Zr1 0.000 0.000 0.000
Ag1 0.244 0.000 0.745
Pt1 0.000 0.500 0.500
```

=====

9.
The following is a DFT calculation (GGA-PBE) of a geometry-optimized Zr2AgPt structure.

## Properties
Energy relative to the elements, kJ/mol of atoms: -43.52
Total magnetization, μB/f.u.: 0.01

The structure in CIF format:
```
data_Zr2AgPt
_cell_length_a 4.277
_cell_length_b 4.284
_cell_length_c 8.408
_cell_angle_alpha 90.00
_cell_angle_beta 90.00
_cell_angle_gamma 90.00
_symmetry_space_group_name_H-M 'C m m m'
_symmetry_Int_Tables_number 65
_symmetry_space_group_name_Hall '-C 2 2'
loop_
_atom_site_label
_atom_site_fract_x
_atom_site_fract_y
_atom_site_fract_z
Zr1 0.000 0.000 0.236
Ag1 0.000 0.500 0.500
Pt1 0.000 0.500 0.000
```

=====

10.
The following is a DFT calculation (GGA-PBE) of a geometry-optimized ZrAgPt2 structure.

## Properties
Energy relative to the elements, kJ/mol of atoms: -49.85
Total magnetization, μB/f.u.: 0.00

The structure in CIF format:
```
data_ZrAgPt2
_cell_length_a 3.586
_cell_length_b 3.586
_cell_length_c 5.575
_cell_angle_alpha 90.00
_cell_angle_beta 90.00
_cell_angle_gamma 90.00
_symmetry_space_group_name_H-M 'P 4 m m'
_symmetry_Int_Tables_number 99
_symmetry_space_group_name_Hall 'P 4 -2'
loop_
_atom_site_label
_atom_site_fract_x
_atom_site_fract_y
_atom_site_fract_z
Zr1 0.000 0.000 0.000
Ag1 0.500 0.500 0.289
Pt1 0.000 0.000 0.511
Pt2 0.500 0.500 0.784
```